DFT (GGA-PBE) results for an optimized crystal structure of FeMo2HPd.

Properties
As for the space-group type: P4/mmm. The calculation puts the polymorph energy (0 for the lowest one) at 2306 meV/atom.

Structure (CIF):
```
data_FeMo2HPd
_chemical_formula_sum 'Fe1 Mo2 H1 Pd1'
_cell_length_a 4.776
_cell_length_b 4.642
_cell_length_c 4.776
_cell_angle_alpha 90.00
_cell_angle_beta 90.00
_cell_angle_gamma 90.00
_space_group_name_H-M_alt 'P 1'
_space_group_IT_number 1
loop_
_space_group_symop_operation_xyz
'x,y,z'
loop_
_atom_site_label
_atom_site_fract_x
_atom_site_fract_y
_atom_site_fract_z
_atom_site_occupancy
Fe1 0.000 0.500 0.000 1
Mo1 0.000 0.000 0.500 1
Mo2 0.500 0.000 0.000 1
Pd1 0.000 0.000 0.000 1
H1 0.500 0.500 0.500 1
```


DFT (GGA-PBE) results for an optimized crystal structure of FeMo2HPd.

Properties
As for the space-group type: P4/mmm. The calculation puts the polymorph energy (0 for the lowest one) at 0 meV/atom.

Structure (CIF):
```
data_FeMo2HPd
_chemical_formula_sum 'Fe1 Mo2 H1 Pd1'
_cell_length_a 3.917
_cell_length_b 3.917
_cell_length_c 3.852
_cell_angle_alpha 90.00
_cell_angle_beta 90.00
_cell_angle_gamma 90.00
_space_group_name_H-M_alt 'P 1'
_space_group_IT_number 1
loop_
_space_group_symop_operation_xyz
'x,y,z'
loop_
_atom_site_label
_atom_site_fract_x
_atom_site_fract_y
_atom_site_fract_z
_atom_site_occupancy
Fe1 0.000 0.000 0.500 1
H1 0.000 0.000 0.000 1
Mo1 0.000 0.500 0.000 1
Mo2 0.500 0.000 0.000 1
Pd1 0.500 0.500 0.500 1
```


What did the second record say?
DFT (GGA-PBE) results for an optimized crystal structure of FeMo2HPd.

Properties
As for the space-group type: P4/mmm. The calculation puts the polymorph energy (0 for the lowest one) at 0 meV/atom.

Structure (CIF):
```
data_FeMo2HPd
_chemical_formula_sum 'Fe1 Mo2 H1 Pd1'
_cell_length_a 3.917
_cell_length_b 3.917
_cell_length_c 3.852
_cell_angle_alpha 90.00
_cell_angle_beta 90.00
_cell_angle_gamma 90.00
_space_group_name_H-M_alt 'P 1'
_space_group_IT_number 1
loop_
_space_group_symop_operation_xyz
'x,y,z'
loop_
_atom_site_label
_atom_site_fract_x
_atom_site_fract_y
_atom_site_fract_z
_atom_site_occupancy
Fe1 0.000 0.000 0.500 1
H1 0.000 0.000 0.000 1
Mo1 0.000 0.500 0.000 1
Mo2 0.500 0.000 0.000 1
Pd1 0.500 0.500 0.500 1
```